1.
Mg2CoRe2 | PBE-GGA | optimized geometry

## Properties
The calculation puts the relative energy among the computed polymorphs at 0 meV/atom. The calculation puts the total magnetic moment at 0.191 μB per atom. The value obtained for the formation energy is 2.67 eV per formula unit.

The structure in CIF format:
```
data_Mg2CoRe2
_chemical_formula_sum 'Mg4 Co2 Re4'
_cell_length_a 6.160
_cell_length_b 6.160
_cell_length_c 4.537
_cell_angle_alpha 90.00
_cell_angle_beta 90.00
_cell_angle_gamma 90.00
_space_group_name_H-M_alt 'P 4/m b m'
_space_group_IT_number 127
_space_group_name_Hall '-P 4 2ab'
loop_
_atom_site_label
_atom_site_type_symbol
_atom_site_fract_x
_atom_site_fract_y
_atom_site_fract_z
Mg1 Mg 0.169 0.331 0.000
Co1 Co 0.000 0.000 0.500
Re1 Re 0.137 0.637 0.500
```

=====

2.
MgCoReRu2 | PBE-GGA | optimized geometry

## Properties
The calculation puts the relative energy among the computed polymorphs at 0 meV/atom. The calculation puts the total magnetic moment at 0.568 μB per atom. The value obtained for the formation energy is 8.32 eV per formula unit.

The structure in CIF format:
```
data_MgCoReRu2
_chemical_formula_sum 'Mg1 Co1 Re1 Ru2'
_cell_length_a 4.636
_cell_length_b 4.636
_cell_length_c 4.897
_cell_angle_alpha 90.00
_cell_angle_beta 90.00
_cell_angle_gamma 90.00
_space_group_name_H-M_alt 'P 4/m m m'
_space_group_IT_number 123
_space_group_name_Hall '-P 4 2'
loop_
_atom_site_label
_atom_site_type_symbol
_atom_site_fract_x
_atom_site_fract_y
_atom_site_fract_z
Mg1 Mg 0.000 0.000 0.000
Co1 Co 0.500 0.500 0.000
Re1 Re 0.000 0.000 0.500
Ru1 Ru 0.000 0.500 0.500
```

=====

3.
MgCoReRu | PBE-GGA | optimized geometry

## Properties
The calculation puts the total magnetic moment at 0.459 μB per atom. The value obtained for the formation energy is 0.38 eV per formula unit.

The structure in CIF format:
```
data_MgCoReRu
_chemical_formula_sum 'Mg4 Co4 Re4 Ru4'
_cell_length_a 6.068
_cell_length_b 6.068
_cell_length_c 6.068
_cell_angle_alpha 90.00
_cell_angle_beta 90.00
_cell_angle_gamma 90.00
_space_group_name_H-M_alt 'F -4 3 m'
_space_group_IT_number 216
_space_group_name_Hall 'F -4 2 3'
loop_
_atom_site_label
_atom_site_type_symbol
_atom_site_fract_x
_atom_site_fract_y
_atom_site_fract_z
Mg1 Mg 0.000 0.000 0.000
Co1 Co 0.250 0.250 0.750
Re1 Re 0.000 0.000 0.500
Ru1 Ru 0.250 0.250 0.250
```

=====

4.
MgCoReRu2 | PBE-GGA | optimized geometry

## Properties
The calculation puts the relative energy among the computed polymorphs at 196 meV/atom. The calculation puts the total magnetic moment at 0.001 μB per atom. The value obtained for the formation energy is 9.30 eV per formula unit.

The structure in CIF format:
```
data_MgCoReRu2
_chemical_formula_sum 'Mg1 Co1 Re1 Ru2'
_cell_length_a 4.348
_cell_length_b 4.348
_cell_length_c 4.073
_cell_angle_alpha 90.00
_cell_angle_beta 90.00
_cell_angle_gamma 90.00
_space_group_name_H-M_alt 'P 4/m m m'
_space_group_IT_number 123
_space_group_name_Hall '-P 4 2'
loop_
_atom_site_label
_atom_site_type_symbol
_atom_site_fract_x
_atom_site_fract_y
_atom_site_fract_z
Mg1 Mg 0.000 0.000 0.000
Co1 Co 0.000 0.000 0.500
Re1 Re 0.500 0.500 0.500
Ru1 Ru 0.000 0.500 0.000
```

=====

5.
MgCoRe2Se | PBE-GGA | optimized geometry

## Properties
The calculation puts the raw formation energy at 1.1634 eV per atom. The calculation puts the total magnetic moment at 0.003 μB per atom.

The structure in CIF format:
```
data_MgCoRe2Se
_chemical_formula_sum 'Mg1 Co1 Re2 Se1'
_cell_length_a 4.592
_cell_length_b 4.592
_cell_length_c 4.251
_cell_angle_alpha 90.00
_cell_angle_beta 90.00
_cell_angle_gamma 90.00
_space_group_name_H-M_alt 'P 4/m m m'
_space_group_IT_number 123
_space_group_name_Hall '-P 4 2'
loop_
_atom_site_label
_atom_site_type_symbol
_atom_site_fract_x
_atom_site_fract_y
_atom_site_fract_z
Mg1 Mg 0.000 0.000 0.000
Co1 Co 0.500 0.500 0.000
Re1 Re 0.000 0.500 0.500
Se1 Se 0.500 0.500 0.500
```

=====

6.
MgCoReW | PBE-GGA | optimized geometry

## Properties
The calculation puts the total magnetic moment at 0.000 μB per atom. The value obtained for the formation energy is 0.58 eV per formula unit.

The structure in CIF format:
```
data_MgCoReW
_chemical_formula_sum 'Mg4 Co4 Re4 W4'
_cell_length_a 6.140
_cell_length_b 6.140
_cell_length_c 6.140
_cell_angle_alpha 90.00
_cell_angle_beta 90.00
_cell_angle_gamma 90.00
_space_group_name_H-M_alt 'F -4 3 m'
_space_group_IT_number 216
_space_group_name_Hall 'F -4 2 3'
loop_
_atom_site_label
_atom_site_type_symbol
_atom_site_fract_x
_atom_site_fract_y
_atom_site_fract_z
Mg1 Mg 0.000 0.000 0.000
Co1 Co 0.250 0.250 0.250
Re1 Re 0.250 0.250 0.750
W1 W 0.000 0.000 0.500
```

=====

7.
MgCoRh2 | PBE-GGA | optimized geometry

## Properties
The calculation puts the total magnetic moment at 0.745 μB per atom. The value obtained for the formation energy is 0.96 eV per formula unit.

The structure in CIF format:
```
data_MgCoRh2
_chemical_formula_sum 'Mg4 Co4 Rh8'
_cell_length_a 6.936
_cell_length_b 6.936
_cell_length_c 5.246
_cell_angle_alpha 90.00
_cell_angle_beta 90.00
_cell_angle_gamma 90.00
_space_group_name_H-M_alt 'I -4 2 d'
_space_group_IT_number 122
_space_group_name_Hall 'I -4 2bw'
loop_
_atom_site_label
_atom_site_type_symbol
_atom_site_fract_x
_atom_site_fract_y
_atom_site_fract_z
Mg1 Mg 0.000 0.000 0.000
Co1 Co 0.000 0.000 0.500
Rh1 Rh 0.210 0.250 0.625
```

=====

8.
MgCoRh | PBE-GGA | optimized geometry

## Properties
The calculation puts the relative energy among the computed polymorphs at 67 meV/atom. The calculation puts the total magnetic moment at 0.779 μB per atom. The value obtained for the formation energy is -0.27 eV per formula unit.

The structure in CIF format:
```
data_MgCoRh
_chemical_formula_sum 'Mg2 Co2 Rh2'
_cell_length_a 3.014
_cell_length_b 3.014
_cell_length_c 9.399
_cell_angle_alpha 90.00
_cell_angle_beta 90.00
_cell_angle_gamma 90.00
_space_group_name_H-M_alt 'I 4 m m'
_space_group_IT_number 107
_space_group_name_Hall 'I 4 -2'
loop_
_atom_site_label
_atom_site_type_symbol
_atom_site_fract_x
_atom_site_fract_y
_atom_site_fract_z
Mg1 Mg 0.000 0.000 0.000
Co1 Co 0.000 0.000 0.325
Rh1 Rh 0.000 0.000 0.679
```

=====

What did the sixth record say?
MgCoReW | PBE-GGA | optimized geometry

## Properties
The calculation puts the total magnetic moment at 0.000 μB per atom. The value obtained for the formation energy is 0.58 eV per formula unit.

The structure in CIF format:
```
data_MgCoReW
_chemical_formula_sum 'Mg4 Co4 Re4 W4'
_cell_length_a 6.140
_cell_length_b 6.140
_cell_length_c 6.140
_cell_angle_alpha 90.00
_cell_angle_beta 90.00
_cell_angle_gamma 90.00
_space_group_name_H-M_alt 'F -4 3 m'
_space_group_IT_number 216
_space_group_name_Hall 'F -4 2 3'
loop_
_atom_site_label
_atom_site_type_symbol
_atom_site_fract_x
_atom_site_fract_y
_atom_site_fract_z
Mg1 Mg 0.000 0.000 0.000
Co1 Co 0.250 0.250 0.250
Re1 Re 0.250 0.250 0.750
W1 W 0.000 0.000 0.500
```

=====

Which value of total magnetic moment does entry 2 give?
0.568 μB per atom

=====

The lowest total magnetic moment belongs to which entry?
MgCoReW